DFT (PBE) results for a geometry-optimized La2CeZrN4 structure.

Cell: 3.524 6.118 6.247 Å, 108.82 90.00 90.00°
Element x y z (fractional)
La 0.500 0.000 0.500
La 0.000 0.500 0.500
Ce 0.500 0.500 0.000
Zr 0.000 0.000 0.000
N 0.500 0.227 0.215
N 0.500 0.773 0.785
N 0.000 0.244 0.784
N 0.000 0.756 0.216

Output
As for the raw formation energy: -1.469 eV/atom.